1.
# AgIr2Pt

AgIr2Pt after structural relaxation (GGA-PBE, the Alexandria database).

Results
Size of the total moment   0.00 Bohr magnetons per cell
Calculated formation energy   0.244 eV/atom
Fermi-level density of states   4.65 states/eV/cell

Structure (POSCAR):
```
AgIr2Pt
1.0
4.817 0.000 0.005
4.014 2.663 0.005
0.828 0.250 4.839
Ir Pt Ag
2 1 1
Direct
0.008 0.008 0.970
0.748 0.748 0.772
0.494 0.494 0.497
0.250 0.250 0.261
```

2.
# AgIr2Pt

AgIr2Pt after structural relaxation (GGA-PBE, the Alexandria database).

Results
Size of the total moment   0.00 Bohr magnetons per cell
Calculated formation energy   0.339 eV/atom
Fermi-level density of states   3.76 states/eV/cell

Structure (POSCAR):
```
AgIr2Pt
1.0
4.839 0.012 0.000
1.605 4.565 0.000
-3.222 -2.289 2.792
Ir Ag Pt
2 1 1
Direct
0.000 0.000 0.000
0.500 0.500 0.000
0.250 0.750 0.500
0.750 0.250 0.500
```

3.
# AgIrPt2

AgIrPt2 after structural relaxation (GGA-PBE, the Alexandria database).

Results
Size of the total moment   0.00 Bohr magnetons per cell
Calculated formation energy   0.192 eV/atom
Fermi-level density of states   5.49 states/eV/cell

Structure (POSCAR):
```
AgIrPt2
1.0
2.762 0.005 0.000
-1.392 2.385 0.000
0.000 0.000 9.707
Ir Ag Pt
1 1 2
Direct
0.500 0.500 0.756
0.000 0.000 0.502
0.000 0.000 0.996
0.500 0.500 0.246
```